Entry 1:
# Pm3GaHg3, relaxed, DFT PBE
# Volume   26.55 Å³/atom
# Final energy   -42.71 eV per cell
# D(E_F)   0.8595 states/eV per atom
# ΔE_f   -3.17 eV per formula unit
data_Pm3GaHg3
_symmetry_space_group_name_H-M 'I m m 2'
_symmetry_Int_Tables_number 44
_cell_length_a 3.771
_cell_length_b 4.818
_cell_length_c 20.461
_cell_angle_alpha 90.00
_cell_angle_beta 90.00
_cell_angle_gamma 90.00
loop_
_symmetry_equiv_pos_as_xyz
'x,y,z'
'-x,-y,z'
'-x,y,z'
'x,-y,z'
'x+1/2,y+1/2,z+1/2'
'-x+1/2,-y+1/2,z+1/2'
'-x+1/2,y+1/2,z+1/2'
'x+1/2,-y+1/2,z+1/2'
loop_
_atom_site_label
_atom_site_fract_x
_atom_site_fract_y
_atom_site_fract_z
Pm1 0.000 0.000 0.000
Pm2 0.000 0.000 0.383
Pm3 0.000 0.500 0.198
Ga1 0.000 0.500 0.760
Hg1 0.000 0.000 0.545
Hg2 0.000 0.000 0.838
Hg3 0.000 0.500 0.629


Entry 2:
# PmGaHg6, relaxed, DFT PBE
# Volume   42.04 Å³/atom
# Final energy   -24.87 eV per cell
# D(E_F)   0.8067 states/eV per atom
# ΔE_f   1.30 eV per formula unit
data_PmGaHg6
_symmetry_space_group_name_H-M 'R -3 m'
_symmetry_Int_Tables_number 166
_symmetry_space_group_name_Hall '-R 3 2"'
_cell_length_a 6.6087
_cell_length_b 6.6087
_cell_length_c 26.6767
_cell_angle_alpha 90.00
_cell_angle_beta 90.00
_cell_angle_gamma 120.00
loop_
_atom_site_label
_atom_site_fract_x
_atom_site_fract_y
_atom_site_fract_z
Pm1 0.0000 0.0000 0.0000
Ga1 0.0000 0.0000 0.5000
Hg1 0.0104 0.5052 0.7613


Entry 3:
# Pm4GaHg, relaxed, DFT PBE
# Volume   29.57 Å³/atom
# Final energy   -46.79 eV per cell
# D(E_F)   0.8520 states/eV per atom
# ΔE_f   -1.06 eV per formula unit
# Offset from the most stable computed form   0.00 eV per formula unit
data_Pm4GaHg
_symmetry_space_group_name_H-M 'C 1 m 1'
_symmetry_Int_Tables_number 8
_cell_length_a 12.313
_cell_length_b 3.688
_cell_length_c 8.888
_cell_angle_alpha 90.00
_cell_angle_beta 118.46
_cell_angle_gamma 90.00
loop_
_symmetry_equiv_pos_as_xyz
'x,y,z'
'x,-y,z'
'x+1/2,y+1/2,z'
'x+1/2,-y+1/2,z'
loop_
_atom_site_label
_atom_site_fract_x
_atom_site_fract_y
_atom_site_fract_z
Pm1 0.000 0.000 0.000
Pm2 0.031 0.500 0.368
Pm3 0.229 0.000 0.738
Pm4 0.261 0.500 0.095
Ga1 0.002 0.500 0.709
Hg1 0.269 0.000 0.403


Entry 4:
# Pm2GaHg4, relaxed, DFT PBE
# Volume   25.25 Å³/atom
# Final energy   -48.49 eV per cell
# D(E_F)   0.4815 states/eV per atom
# ΔE_f   -2.43 eV per formula unit
data_Pm2GaHg4
_symmetry_space_group_name_H-M 'R -3 m'
_symmetry_Int_Tables_number 166
_symmetry_space_group_name_Hall '-R 3 2"'
_cell_length_a 5.2605
_cell_length_b 5.2605
_cell_length_c 22.1296
_cell_angle_alpha 90.00
_cell_angle_beta 90.00
_cell_angle_gamma 120.00
loop_
_atom_site_label
_atom_site_fract_x
_atom_site_fract_y
_atom_site_fract_z
Pm1 0.0000 0.0000 0.2214
Ga1 0.0000 0.0000 0.5000
Hg1 0.0000 0.0000 0.0721
Hg2 0.0000 0.0000 0.3671


Entry 5:
# PmGa2Hg, relaxed, DFT PBE
# Volume   33.78 Å³/atom
# Final energy   -32.02 eV per cell
# D(E_F)   0.5189 states/eV per atom
# ΔE_f   0.43 eV per formula unit
# Offset from the most stable computed form   2.19 eV per formula unit
data_PmGa2Hg
_symmetry_space_group_name_H-M 'R -3 m'
_symmetry_Int_Tables_number 166
_symmetry_space_group_name_Hall '-R 3 2"'
_cell_length_a 5.0506
_cell_length_b 5.0506
_cell_length_c 18.3517
_cell_angle_alpha 90.00
_cell_angle_beta 90.00
_cell_angle_gamma 120.00
loop_
_atom_site_label
_atom_site_fract_x
_atom_site_fract_y
_atom_site_fract_z
Pm1 0.0000 0.0000 0.0000
Ga1 0.0000 0.0000 0.3566
Hg1 0.0000 0.0000 0.5000


Entry 6:
# Pm3Ga2Hg3, relaxed, DFT PBE
# Volume   25.08 Å³/atom
# Final energy   -100.77 eV per cell
# D(E_F)   0.5812 states/eV per atom
# ΔE_f   -3.98 eV per formula unit
# Offset from the most stable computed form   0.00 eV per formula unit
data_Pm3Ga2Hg3
_symmetry_space_group_name_H-M 'C m c m'
_symmetry_Int_Tables_number 63
_symmetry_space_group_name_Hall '-C 2c 2'
_cell_length_a 4.562
_cell_length_b 11.247
_cell_length_c 15.644
_cell_angle_alpha 90.00
_cell_angle_beta 90.00
_cell_angle_gamma 90.00
loop_
_atom_site_label
_atom_site_fract_x
_atom_site_fract_y
_atom_site_fract_z
Pm1 0.000 0.083 0.108
Pm2 0.000 0.359 0.250
Ga1 0.000 0.206 0.612
Hg1 0.000 0.364 0.750
Hg2 0.000 0.374 0.035